No. 1
Compound: AcLa4Nd2
Source: the Alexandria database
Functional: PBE
Structure: relaxed

Computed properties:
Polymorph energy (0 for the lowest one) (kJ per mole of atoms): 12.3
DFT total energy (eV per cell): -127.300
Calculated volume (A^3/atom): 38.4
Size of the total moment (μB per formula unit): 0.0

a b c (Å): 7.1190 11.7642 12.8533
angles (deg): 90.00 90.00 90.00
Space group Imma (No. 74)
One atom of each set of equivalent atoms:
Ac (0.2500, 0.2500, 0.2500)
La (0.0000, 0.0026, 0.6400)
La (0.2166, 0.2500, 0.5120)
Nd (0.0000, 0.0000, 0.0000)
Nd (0.0000, 0.2500, 0.7813)



No. 2
Compound: Cr2CdPb
Source: the Alexandria database
Functional: PBE
Structure: relaxed

Computed properties:
DFT total energy (eV per cell): -42.425
Calculated volume (A^3/atom): 20.9
Size of the total moment (μB per formula unit): 7.6

a b c (Å): 9.2265 3.3102 5.5871
angles (deg): 90.00 101.78 90.00
Space group C2/m (No. 12)
One atom of each set of equivalent atoms:
Cr (0.2480, 0.0000, 0.2412)
Cd (0.0000, 0.5000, 0.0000)
Pb (0.0000, 0.0000, 0.5000)



No. 3
Compound: RbCdBiS3
Source: the Alexandria database
Functional: PBE
Structure: relaxed

Computed properties:
E_form (uncorrected) (meV per atom): -706
DFT total energy (eV per cell): -44.760
Calculated volume (A^3/atom): 31.6
Size of the total moment (μB per formula unit): 0.0

a b c (Å): 9.3494 4.2043 9.9578
angles (deg): 90.00 104.28 90.00
Space group P2_1/m (No. 11)
One atom of each set of equivalent atoms:
Rb (0.1873, 0.2500, 0.2245)
Cd (0.0988, 0.2500, 0.6083)
Bi (0.3462, 0.7500, 0.8683)
S (0.1436, 0.2500, 0.8713)
S (0.1921, 0.7500, 0.5079)
S (0.4378, 0.7500, 0.1369)



No. 4
Compound: YSi2P
Source: the Alexandria database
Functional: PBE
Structure: relaxed

Computed properties:
E_form (uncorrected) (meV per atom): -348
DFT total energy (eV per cell): -48.224
Calculated volume (A^3/atom): 18.3
Size of the total moment (μB per formula unit): 0.0

a b c (Å): 9.6043 3.4851 4.6690
angles (deg): 90.00 110.45 90.00
Space group C2/m (No. 12)
One atom of each set of equivalent atoms:
Y (0.0000, 0.0000, 0.0000)
Si (0.2197, 0.0000, 0.6538)
P (0.0000, 0.5000, 0.5000)



No. 5
Compound: BaZnTe2
Source: the Alexandria database
Functional: PBE
Structure: relaxed

Computed properties:
E_form (uncorrected) (meV per atom): -914
DFT total energy (eV per cell): -39.414
Calculated volume (A^3/atom): 52.7
Size of the total moment (μB per formula unit): 0.0

a b c (Å): 5.4767 5.4767 24.3580
angles (deg): 90.00 90.00 120.00
Space group R-3m (No. 166, hexagonal axes)
One atom of each set of equivalent atoms:
Ba (0.0000, 0.0000, 0.0000)
Zn (0.0000, 0.0000, 0.5000)
Te (0.0000, 0.0000, 0.3991)



No. 6
Compound: Ce4Th5Sn
Source: the Alexandria database
Functional: PBE
Structure: relaxed

Computed properties:
DFT total energy (eV per cell): -124.255
Calculated volume (A^3/atom): 32.0
Size of the total moment (μB per formula unit): 2.4

a b c (Å): 8.3459 9.6117 7.9722
angles (deg): 90.00 90.00 90.00
Space group Pmmn (No. 59, origin choice 2)
One atom of each set of equivalent atoms:
Ce (0.0944, 0.2500, 0.1590)
Ce (0.2500, 0.6073, 0.5296)
Th (0.0124, 0.0718, 0.8122)
Th (0.2500, 0.2500, 0.5293)
Sn (0.2500, 0.7500, 0.9315)



No. 7
Compound: GeBiF6
Source: the Alexandria database
Functional: PBE
Structure: relaxed

Computed properties:
E_form (uncorrected) (meV per atom): -2167
DFT total energy (eV per cell): -74.119
Calculated volume (A^3/atom): 14.3
Size of the total moment (μB per formula unit): 1.0

a b c (Å): 6.8745 6.8563 4.8653
angles (deg): 90.00 90.34 90.00
Space group C2/m (No. 12)
One atom of each set of equivalent atoms:
Ge (0.0000, 0.0000, 0.0000)
Bi (0.0000, 0.5000, 0.5000)
F (0.0629, 0.1880, 0.7484)
F (0.2477, 0.5000, 0.8769)



No. 8
Compound: CePmGdZn
Source: the Alexandria database
Functional: PBE
Structure: relaxed

Computed properties:
DFT total energy (eV per cell): -102.879
Calculated volume (A^3/atom): 27.4
Size of the total moment (μB per formula unit): 9.3

a b c (Å): 7.5990 7.5990 7.5990
angles (deg): 90.00 90.00 90.00
Space group F-43m (No. 216)
One atom of each set of equivalent atoms:
Ce (0.0000, 0.0000, 0.0000)
Pm (0.2500, 0.2500, 0.7500)
Gd (0.0000, 0.0000, 0.5000)
Zn (0.2500, 0.2500, 0.2500)